An optimized crystal structure of Tl2Ga2Te. Source: Alexandria via LeMat-Bulk, functional GGA-PBE.

Output
For the energy above the most stable polymorph in this dataset, the calculation gives 0.14 eV per formula unit.

a = 3.995 Å, b = 3.995 Å, c = 17.719 Å
α = 90.00°, β = 90.00°, γ = 90.00°
Space group I4/mmm (No. 139)
Asymmetric unit:
Tl  0.000  0.000  0.099 x4
Ga  0.000  0.500  0.250 x4
Te  0.000  0.000  0.500 x2